A geometry-optimized RuPtRh2 structure, computed with PBE.

## Properties
For the electronic total energy, the calculation gives -6.9100 eV/atom. As for the space group: R3m. The calculation puts the energy above the most stable polymorph in this dataset at 638.0 meV/atom. Its calculated formation energy is 57.4 kJ per mole of atoms. The density of states at the Fermi level comes out at 1.34 states/eV/atom.

Cell lengths 3.801, 3.801, 5.889 Å; angles 71.17, 71.17, 60.00 degrees
Sites, in units of the cell vectors:
1 Rh 0.244 0.244 0.268
2 Rh 0.087 0.087 0.739
3 Pt 0.666 0.666 0.003
4 Ru 0.503 0.503 0.490